Entry 1:
Computed, not measured: crystalline CrCd2Co at its relaxed geometry at the PBE level of DFT.

abc: 9.412 9.412 9.412
angles: 17.54 17.54 17.54
Each line ends with the local moment (μB).
Sites, in units of the cell vectors:
Cd 0.009 0.009 0.009  0.00
Cd 0.239 0.239 0.239  -0.01
Co 0.489 0.489 0.489  1.05
Cr 0.763 0.763 0.763  1.60

Computed properties:
Calculated total energy   -4.27 eV/atom
Calculated density   8.4 g/cm³
Symmetry   No. 160
Energy of formation from the pure elements   374 meV per atom

Entry 2:
Computed, not measured: crystalline AcScAlGa at its relaxed geometry at the PBE level of DFT.

abc: 5.214 5.214 5.214
angles: 60.00 60.00 60.00
Sites, in units of the cell vectors:
Sc 0.500 0.500 0.500
Ac 0.000 0.000 0.000
Al 0.750 0.750 0.750
Ga 0.250 0.250 0.250

Computed properties:
Calculated total energy   -4.62 eV/atom
Calculated density   6.1 g/cm³
Symmetry   No. 216
Energy of formation from the pure elements   -314 meV per atom

Entry 3:
Computed, not measured: crystalline RbCo at its relaxed geometry at the PBE level of DFT.

abc: 8.059 8.059 8.059
angles: 90.00 90.00 90.00
Each line ends with the local moment (μB).
Sites, in units of the cell vectors:
Rb 0.000 0.000 0.000  0.00
Rb 0.000 0.500 0.500  0.00
Rb 0.500 0.000 0.500  0.00
Rb 0.500 0.500 0.000  0.00
Co 0.250 0.250 0.250  2.01
Co 0.250 0.750 0.750  2.01
Co 0.750 0.250 0.750  2.01
Co 0.750 0.750 0.250  2.01

Computed properties:
Calculated total energy   -2.25 eV/atom
Calculated density   1.8 g/cm³
Symmetry   No. 216
Energy of formation from the pure elements   1789 meV per atom

Entry 4:
Computed, not measured: crystalline Li4Hf3PdSe8 at its relaxed geometry at the PBE level of DFT.

abc: 7.614 7.810 7.619
angles: 119.19 119.98 90.00
Sites, in units of the cell vectors:
Li 0.500 0.000 0.000
Li 0.500 0.000 0.500
Li 0.000 0.000 0.000
Li 0.000 0.000 0.500
Hf 0.500 0.500 0.000
Hf 0.500 0.500 0.500
Hf 0.000 0.500 0.500
Pd 0.000 0.500 0.000
Se 0.249 0.743 0.993
Se 0.250 0.743 0.500
Se 0.251 0.253 0.502
Se 0.744 0.743 0.993
Se 0.256 0.257 0.007
Se 0.749 0.747 0.498
Se 0.750 0.257 0.500
Se 0.751 0.257 0.007

Computed properties:
Uncorrected formation energy   -109.7 kJ per mole of atoms
Calculated total energy   -5.55 eV/atom
Calculated density   6.7 g/cm³
Symmetry   No. 166

Entry 5:
Computed, not measured: crystalline Pr6NdDy2Th at its relaxed geometry at the PBE level of DFT.

abc: 9.990 8.919 8.919
angles: 116.37 94.87 94.87
Sites, in units of the cell vectors:
Pr 0.057 0.106 0.755
Pr 0.443 0.245 0.894
Pr 0.943 0.894 0.245
Pr 0.557 0.755 0.106
Pr 0.315 0.986 0.423
Pr 0.185 0.577 0.014
Pr 0.685 0.014 0.577
Pr 0.815 0.423 0.986
Pr 0.121 0.699 0.493
Pr 0.379 0.507 0.301
Pr 0.879 0.301 0.507
Pr 0.621 0.493 0.699
Nd 0.250 0.404 0.596
Nd 0.750 0.596 0.404
Dy 0.451 0.806 0.717
Dy 0.049 0.283 0.194
Dy 0.549 0.194 0.283
Dy 0.951 0.717 0.806
Th 0.250 0.973 0.027
Th 0.750 0.027 0.973

Computed properties:
Calculated total energy   -4.87 eV/atom
Calculated density   7.3 g/cm³
Symmetry   No. 15
Energy of formation from the pure elements   139 meV per atom

Entry 6:
Computed, not measured: crystalline Tl2As2Au at its relaxed geometry at the PBE level of DFT.

abc: 6.719 6.719 5.713
angles: 90.00 90.00 90.00
Sites, in units of the cell vectors:
Tl 0.180 0.680 0.500
Tl 0.680 0.820 0.500
Tl 0.820 0.320 0.500
Tl 0.320 0.180 0.500
Au 0.000 0.000 0.000
Au 0.500 0.500 0.000
As 0.369 0.869 0.000
As 0.869 0.631 0.000
As 0.631 0.131 0.000
As 0.131 0.369 0.000

Computed properties:
Calculated total energy   -3.45 eV/atom
Calculated density   9.7 g/cm³
Symmetry   No. 127
Energy of formation from the pure elements   15 meV per atom

Entry 7:
Computed, not measured: crystalline Tb3ZnHg at its relaxed geometry at the PBE level of DFT.

abc: 4.811 8.193 8.193
angles: 119.99 90.00 90.00
Sites, in units of the cell vectors:
Tb 0.250 0.808 0.192
Tb 0.750 0.192 0.808
Tb 0.250 0.808 0.617
Tb 0.750 0.192 0.383
Tb 0.250 0.383 0.192
Tb 0.750 0.617 0.808
Zn 0.000 0.000 0.000
Zn 0.500 0.000 0.000
Hg 0.250 0.333 0.667
Hg 0.750 0.667 0.333

Computed properties:
Calculated total energy   -3.24 eV/atom
Calculated density   8.8 g/cm³
Symmetry   No. 194
Energy of formation from the pure elements   -150 meV per atom

Question: Which value of calculated density does entry 4 give?
Answer: 6.7 g/cm³